Record 1
{
  "formula": "PrNd5Sc",
  "functional": "PBE",
  "state": "relaxed",
  "cell": [[-1.942, -4.659, -1.846], [2.807, -2.651, 3.738], [-6.699, 0.624, 5.474]],
  "species": ["Nd", "Nd", "Nd", "Nd", "Nd", "Sc", "Pr"],
  "frac_coords": [[0.000, 0.500, 0.710], [0.500, 0.500, 0.000], [0.500, 0.000, 0.710], [0.500, 0.000, 0.290], [0.000, 0.500, 0.290], [0.000, 0.000, 0.500], [0.000, 0.000, 0.000]],
  "delta_e_f_mev_per_atom": 234.8
}

Record 2
{
  "formula": "TmLu2Sc",
  "functional": "PBE",
  "state": "relaxed",
  "cell": [[5.457, 0.000, 0.000], [2.729, 4.726, 0.000], [2.729, 1.575, 4.456]],
  "species": ["Sc", "Lu", "Lu", "Tm"],
  "frac_coords": [[0.500, 0.500, 0.500], [0.750, 0.750, 0.750], [0.250, 0.250, 0.250], [0.000, 0.000, 0.000]],
  "delta_e_f_mev_per_atom": 135.6,
  "relative_energy_ev_per_atom": 0.0896
}

Record 3
{
  "formula": "ReBPC",
  "functional": "PBE",
  "state": "relaxed",
  "cell": [[6.163, 0.000, -0.033], [0.000, 2.855, 0.000], [-1.532, 0.000, 4.813]],
  "species": ["B", "B", "C", "C", "Re", "Re", "P", "P"],
  "frac_coords": [[0.503, 0.000, 0.510], [0.503, 0.500, 0.010], [0.575, 0.500, 0.359], [0.575, 0.000, 0.859], [0.889, 0.000, 0.578], [0.889, 0.500, 0.078], [0.167, 0.000, 0.360], [0.167, 0.500, 0.860]],
  "delta_e_f_mev_per_atom": 227.0,
  "relative_energy_ev_per_atom": 0.1158
}

What is the formula in the third record? ReBPC